Entry 1:
# RbTaCdO4

A relaxed RbTaCdO4 crystal (GGA-PBE, Alexandria).

Cell and atoms, written as CIF:
```
data_RbTaCdO4
_cell_length_a 6.176
_cell_length_b 6.317
_cell_length_c 7.495
_cell_angle_alpha 90.00
_cell_angle_beta 105.55
_cell_angle_gamma 90.00
_symmetry_space_group_name_H-M 'P 1'
_symmetry_Int_Tables_number 1
loop_
_symmetry_equiv_pos_as_xyz
'x,y,z'
loop_
_atom_site_label
_atom_site_fract_x
_atom_site_fract_y
_atom_site_fract_z
_atom_site_occupancy
Rb1 0.239 0.250 0.456 1
Rb2 0.761 0.750 0.544 1
Ta1 0.200 0.750 0.128 1
Ta2 0.800 0.250 0.872 1
Cd1 0.336 0.250 0.969 1
Cd2 0.664 0.750 0.031 1
O1 0.014 0.250 0.732 1
O2 0.042 0.750 0.886 1
O3 0.407 0.520 0.174 1
O4 0.407 0.980 0.174 1
O5 0.593 0.020 0.826 1
O6 0.593 0.480 0.826 1
O7 0.958 0.250 0.114 1
O8 0.986 0.750 0.268 1
```

Calculated values
- space group = P2_1/m (11)
- E_tot (eV per atom) = -6.819
- magnetization (μB per formula unit) = 0.000
- ΔE_f (raw) (meV/atom) = -2024
- DOS at the Fermi energy (states/eV/atom) = 0.000

Entry 2:
# Rb2TaCd2O6

A relaxed Rb2TaCd2O6 crystal (GGA-PBE, Alexandria).

Cell and atoms, written as CIF:
```
data_Rb2TaCd2O6
_cell_length_a 5.743
_cell_length_b 5.743
_cell_length_c 7.009
_cell_angle_alpha 100.19
_cell_angle_beta 100.19
_cell_angle_gamma 117.26
_symmetry_space_group_name_H-M 'P 1'
_symmetry_Int_Tables_number 1
loop_
_symmetry_equiv_pos_as_xyz
'x,y,z'
loop_
_atom_site_label
_atom_site_fract_x
_atom_site_fract_y
_atom_site_fract_z
_atom_site_occupancy
Rb1 0.175 0.825 0.000 1
Rb2 0.825 0.175 0.000 1
Ta1 0.000 0.000 0.500 1
Cd1 0.335 0.665 0.500 1
Cd2 0.665 0.335 0.500 1
O1 0.049 0.346 0.678 1
O2 0.231 0.231 0.340 1
O3 0.346 0.049 0.678 1
O4 0.654 0.951 0.322 1
O5 0.769 0.769 0.660 1
O6 0.951 0.654 0.322 1
```

Calculated values
- space group = C2/m (12)
- E_tot (eV per atom) = -5.775
- magnetization (μB per formula unit) = 1.083
- ΔE_f (raw) (meV/atom) = -1651
- DOS at the Fermi energy (states/eV/atom) = 0.308

Entry 3:
# Rb2TaCdO4

A relaxed Rb2TaCdO4 crystal (GGA-PBE, Alexandria).

Cell and atoms, written as CIF:
```
data_Rb2TaCdO4
_cell_length_a 6.389
_cell_length_b 6.389
_cell_length_c 6.389
_cell_angle_alpha 121.86
_cell_angle_beta 121.86
_cell_angle_gamma 86.81
_symmetry_space_group_name_H-M 'P 1'
_symmetry_Int_Tables_number 1
loop_
_symmetry_equiv_pos_as_xyz
'x,y,z'
loop_
_atom_site_label
_atom_site_fract_x
_atom_site_fract_y
_atom_site_fract_z
_atom_site_occupancy
Rb1 0.000 0.000 0.000 1
Rb2 0.750 0.250 0.500 1
Ta1 0.250 0.750 0.500 1
Cd1 0.500 0.500 0.000 1
O1 0.216 0.661 0.149 1
O2 0.339 0.488 0.555 1
O3 0.512 0.066 0.851 1
O4 0.934 0.784 0.445 1
```

Calculated values
- space group = I-4 (82)
- E_tot (eV per atom) = -6.206
- magnetization (μB per formula unit) = 0.000
- ΔE_f (raw) (meV/atom) = -1889
- DOS at the Fermi energy (states/eV/atom) = 0.327

Entry 4:
# Rb2TbCd2O4

A relaxed Rb2TbCd2O4 crystal (GGA-PBE, Alexandria).

Cell and atoms, written as CIF:
```
data_Rb2TbCd2O4
_cell_length_a 6.880
_cell_length_b 6.880
_cell_length_c 9.826
_cell_angle_alpha 126.99
_cell_angle_beta 126.99
_cell_angle_gamma 30.07
_symmetry_space_group_name_H-M 'P 1'
_symmetry_Int_Tables_number 1
loop_
_symmetry_equiv_pos_as_xyz
'x,y,z'
loop_
_atom_site_label
_atom_site_fract_x
_atom_site_fract_y
_atom_site_fract_z
_atom_site_occupancy
Rb1 0.146 0.146 0.274 1
Rb2 0.854 0.854 0.726 1
Tb1 0.500 0.500 0.500 1
Cd1 0.164 0.164 0.856 1
Cd2 0.836 0.836 0.144 1
O1 0.145 0.145 0.609 1
O2 0.466 0.466 0.236 1
O3 0.534 0.534 0.764 1
O4 0.855 0.855 0.391 1
```

Calculated values
- space group = C2/m (12)
- E_tot (eV per atom) = -4.788
- magnetization (μB per formula unit) = 0.000
- ΔE_f (raw) (meV/atom) = -1652
- DOS at the Fermi energy (states/eV/atom) = 0.265